Material: MgCuAs
Method: DFT, PBE-GGA
State: relaxed

CIF file:
```
data_MgCuAs
_cell_length_a 3.998
_cell_length_b 6.812
_cell_length_c 7.349
_cell_angle_alpha 90.00
_cell_angle_beta 90.00
_cell_angle_gamma 90.00
_symmetry_space_group_name_H-M 'P 1'
_symmetry_Int_Tables_number 1
loop_
_symmetry_equiv_pos_as_xyz
'x,y,z'
loop_
_atom_site_label
_atom_site_type_symbol
_atom_site_fract_x
_atom_site_fract_y
_atom_site_fract_z
As1 As 0.250 0.747 0.380
Mg1 Mg 0.750 0.966 0.187
As2 As 0.750 0.753 0.880
Cu1 Cu 0.750 0.883 0.560
Cu2 Cu 0.250 0.117 0.440
Mg2 Mg 0.250 0.534 0.687
Mg3 Mg 0.750 0.466 0.313
As3 As 0.750 0.253 0.620
Cu3 Cu 0.750 0.383 0.940
As4 As 0.250 0.247 0.120
Mg4 Mg 0.250 0.034 0.813
Cu4 Cu 0.250 0.617 0.060
```

Calculated values
E_form = -0.36 eV/atom
E_tot = -45.7 eV for the cell shown
symmetry = Pnma, No. 62



Material: Mg2CuAs2
Method: DFT, PBE-GGA
State: relaxed

CIF file:
```
data_Mg2CuAs2
_cell_length_a 6.868
_cell_length_b 6.868
_cell_length_c 3.973
_cell_angle_alpha 90.00
_cell_angle_beta 90.00
_cell_angle_gamma 90.00
_symmetry_space_group_name_H-M 'P 1'
_symmetry_Int_Tables_number 1
loop_
_symmetry_equiv_pos_as_xyz
'x,y,z'
loop_
_atom_site_label
_atom_site_type_symbol
_atom_site_fract_x
_atom_site_fract_y
_atom_site_fract_z
As1 As 0.653 0.153 0.000
Mg1 Mg 0.841 0.341 0.500
Mg2 Mg 0.659 0.841 0.500
As2 As 0.847 0.653 0.000
As3 As 0.153 0.347 0.000
As4 As 0.347 0.847 0.000
Mg3 Mg 0.159 0.659 0.500
Mg4 Mg 0.341 0.159 0.500
Cu1 Cu 0.500 0.500 0.000
Cu2 Cu 0.000 0.000 0.000
```

Calculated values
E_form = -0.18 eV/atom
E_tot = -35.0 eV for the cell shown
symmetry = P4/mbm, No. 127



Material: MgCuAs2
Method: DFT, PBE-GGA
State: relaxed

CIF file:
```
data_MgCuAs2
_cell_length_a 6.251
_cell_length_b 6.251
_cell_length_c 6.251
_cell_angle_alpha 35.69
_cell_angle_beta 35.69
_cell_angle_gamma 35.69
_symmetry_space_group_name_H-M 'P 1'
_symmetry_Int_Tables_number 1
loop_
_symmetry_equiv_pos_as_xyz
'x,y,z'
loop_
_atom_site_label
_atom_site_type_symbol
_atom_site_fract_x
_atom_site_fract_y
_atom_site_fract_z
As1 As 0.985 0.985 0.985
Cu1 Cu 0.250 0.250 0.250
Mg1 Mg 0.750 0.750 0.750
As2 As 0.515 0.515 0.515
```

Calculated values
E_form = -0.06 eV/atom
E_tot = -15.2 eV for the cell shown
symmetry = R-3m, No. 166



Material: MgCuAs2
Method: DFT, PBE-GGA
State: relaxed

CIF file:
```
data_MgCuAs2
_cell_length_a 4.330
_cell_length_b 4.330
_cell_length_c 5.610
_cell_angle_alpha 73.57
_cell_angle_beta 73.57
_cell_angle_gamma 52.78
_symmetry_space_group_name_H-M 'P 1'
_symmetry_Int_Tables_number 1
loop_
_symmetry_equiv_pos_as_xyz
'x,y,z'
loop_
_atom_site_label
_atom_site_type_symbol
_atom_site_fract_x
_atom_site_fract_y
_atom_site_fract_z
As1 As 0.971 0.971 0.252
As2 As 0.741 0.741 0.680
Cu1 Cu 0.462 0.462 0.535
Mg1 Mg 0.326 0.326 0.033
```

Calculated values
E_form = -0.14 eV/atom
E_tot = -15.6 eV for the cell shown
symmetry = Cm, No. 8



Material: Mg2CuAs2
Method: DFT, PBE-GGA
State: relaxed

CIF file:
```
data_Mg2CuAs2
_cell_length_a 7.941
_cell_length_b 7.941
_cell_length_c 3.031
_cell_angle_alpha 90.00
_cell_angle_beta 90.00
_cell_angle_gamma 90.00
_symmetry_space_group_name_H-M 'P 1'
_symmetry_Int_Tables_number 1
loop_
_symmetry_equiv_pos_as_xyz
'x,y,z'
loop_
_atom_site_label
_atom_site_type_symbol
_atom_site_fract_x
_atom_site_fract_y
_atom_site_fract_z
As1 As 0.838 0.338 0.500
Cu1 Cu 0.000 0.000 0.000
As2 As 0.662 0.838 0.500
As3 As 0.162 0.662 0.500
Cu2 Cu 0.500 0.500 0.000
Mg1 Mg 0.140 0.360 0.000
As4 As 0.338 0.162 0.500
Mg2 Mg 0.640 0.140 0.000
Mg3 Mg 0.360 0.860 0.000
Mg4 Mg 0.860 0.640 0.000
```

Calculated values
E_form = 0.01 eV/atom
E_tot = -33.1 eV for the cell shown
symmetry = P4/mbm, No. 127



Material: MgCuAs2
Method: DFT, PBE-GGA
State: relaxed

CIF file:
```
data_MgCuAs2
_cell_length_a 6.099
_cell_length_b 6.099
_cell_length_c 6.099
_cell_angle_alpha 144.53
_cell_angle_beta 145.82
_cell_angle_gamma 50.09
_symmetry_space_group_name_H-M 'P 1'
_symmetry_Int_Tables_number 1
loop_
_symmetry_equiv_pos_as_xyz
'x,y,z'
loop_
_atom_site_label
_atom_site_type_symbol
_atom_site_fract_x
_atom_site_fract_y
_atom_site_fract_z
As1 As 0.988 0.988 0.000
Mg1 Mg 0.290 0.790 0.500
Cu1 Cu 0.533 0.533 0.000
As2 As 0.689 0.189 0.500
```

Calculated values
E_form = -0.02 eV/atom
E_tot = -15.1 eV for the cell shown
symmetry = Imm2, No. 44



> Which of these has the lowest E_form?

MgCuAs



> Among the records above, which one has the highest E_tot?

number 6



Repeat the sixth record exactly.
Material: MgCuAs2
Method: DFT, PBE-GGA
State: relaxed

CIF file:
```
data_MgCuAs2
_cell_length_a 6.099
_cell_length_b 6.099
_cell_length_c 6.099
_cell_angle_alpha 144.53
_cell_angle_beta 145.82
_cell_angle_gamma 50.09
_symmetry_space_group_name_H-M 'P 1'
_symmetry_Int_Tables_number 1
loop_
_symmetry_equiv_pos_as_xyz
'x,y,z'
loop_
_atom_site_label
_atom_site_type_symbol
_atom_site_fract_x
_atom_site_fract_y
_atom_site_fract_z
As1 As 0.988 0.988 0.000
Mg1 Mg 0.290 0.790 0.500
Cu1 Cu 0.533 0.533 0.000
As2 As 0.689 0.189 0.500
```

Calculated values
E_form = -0.02 eV/atom
E_tot = -15.1 eV for the cell shown
symmetry = Imm2, No. 44